Record 1
Computed, not measured: a relaxed structure of HfSiH at the PBE level of DFT.

Cell lengths 3.6981, 4.9654, 5.2038 Å; angles 118.50, 110.81, 90.00 degrees
With the nearest neighbours (Å) after each atom.
Atoms (fractional coordinates):
H  0.8061  0.3061  0.6122  2 Hf 2.06
H  0.1939  0.6939  0.3878  2 Hf 2.06
Si  0.5000  0.7473  0.0000  2 Si 2.46-2.51, 4 H 2.75
Si  0.5000  0.2527  0.0000  2 Si 2.46-2.51, 4 H 2.75
Hf  0.1985  0.1985  0.3970  2 H 2.06
Hf  0.8015  0.8015  0.6030  2 H 2.06

## Properties
The mass density is 8.976 g/cm3. The energy relative to the lowest polymorph listed for this composition comes out at 46 meV/atom. Its symmetry is Immm.

Record 2
Computed, not measured: a relaxed structure of Hf2SiH3 at the PBE level of DFT.

Cell lengths 3.4954, 6.5244, 6.5318 Å; angles 114.30, 90.00, 105.54 degrees
With the nearest neighbours (Å) after each atom.
Atoms (fractional coordinates):
Hf  0.4687  0.9375  0.7273  5 H 1.96-2.16
Hf  0.5313  0.0625  0.2727  5 H 1.96-2.16
Hf  0.7885  0.5769  0.2615  4 H 1.97-2.14
Hf  0.2115  0.4231  0.7385  4 H 1.97-2.14
Si  0.8878  0.7756  0.9583  1 Si 2.63, 7 Hf 2.70-2.77, 1 H 2.81
Si  0.1122  0.2244  0.0417  1 Si 2.63, 7 Hf 2.70-2.77, 1 H 2.81
H  0.3001  0.6001  0.5288  3 H 1.96-2.09, 2 Hf 1.96-2.10
H  0.9239  0.8478  0.5619  3 Hf 1.97-2.00, 2 H 2.12
H  0.6024  0.2048  0.6378  3 H 1.96-2.12, 4 Hf 2.00-2.16
H  0.3976  0.7952  0.3622  3 H 1.96-2.12, 4 Hf 2.00-2.16
H  0.0761  0.1522  0.4381  3 Hf 1.97-2.00, 2 H 2.12
H  0.6999  0.3999  0.4712  3 H 1.96-2.09, 2 Hf 1.96-2.10

## Properties
The mass density is 9.932 g/cm3. Its symmetry is C2/m.

Record 3
Computed, not measured: a relaxed structure of HfSi2H at the PBE level of DFT.

Cell lengths 4.4222, 4.4222, 4.4222 Å; angles 60.00, 60.00, 60.00 degrees
With the nearest neighbours (Å) after each atom.
Atoms (fractional coordinates):
H  0.0000  0.0000  0.0000  8 Si 2.71
Si  0.2500  0.2500  0.2500  4 Hf 2.71, 4 H 2.71
Si  0.7500  0.7500  0.7500  4 Hf 2.71, 4 H 2.71
Hf  0.5000  0.5000  0.5000  8 Si 2.71

## Properties
The mass density is 6.400 g/cm3. The energy relative to the lowest polymorph listed for this composition comes out at 355 meV/atom. Its symmetry is Fm-3m.

Record 4
Computed, not measured: a relaxed structure of Sr2HfSiH at the PBE level of DFT.

Cell lengths 6.0908, 5.0291, 6.0908 Å; angles 90.00, 90.00, 90.00 degrees
With the nearest neighbours (Å) after each atom.
Atoms (fractional coordinates):
Sr  0.0000  0.0000  0.5000  2 Si 3.05
Sr  0.5000  0.0000  0.0000  2 Si 3.05
Si  0.0000  0.0000  0.0000  2 Hf 2.51
Hf  0.0000  0.5000  0.0000  2 Si 2.51
H  0.5000  0.5000  0.5000  8 Sr 3.95, 4 Hf 4.31

## Properties
The mass density is 3.407 g/cm3. Its symmetry is P4/mmm.

Final energy list, top to bottom, in eV/atom: -6.713; -6.370; -5.429; -3.843
DOS at the Fermi energy list, top to bottom, in states/eV per atom: 0.095; 0.240; 0.725; 1.461